*i*
Here is a relaxed YMg2Sn2 crystal from Alexandria. Energies are from PBE.

As for the total moment: 0.000 Bohr magnetons per cell.

The space group is I4/mmm (No. 139) and the conventional cell measures 5.1324, 5.1324 and 10.1408 Å, with angles of 90.00, 90.00 and 90.00 degrees. The asymmetric unit holds Y at (0.0000, 0.0000, 0.0000), Mg at (0.0000, 0.0000, 0.3676) and Sn at (0.0000, 0.5000, 0.2500).

=====

*ii*
Here is a relaxed YMg2Sn2 crystal from Alexandria. Energies are from PBE.

As for the total moment: 0.000 Bohr magnetons per cell.

The space group is P4/mbm (No. 127) and the conventional cell measures 8.5081, 8.5081 and 3.4994 Å, with angles of 90.00, 90.00 and 90.00 degrees. The asymmetric unit holds Y at (0.0000, 0.0000, 0.0000), Mg at (0.1420, 0.3580, 0.5000) and Sn at (0.1556, 0.6556, 0.0000).

=====

Which structure is the most stable? The one labeled *ii*.

=====

*i*
Here is a relaxed Mg2ZnSn2 crystal from Alexandria. Energies are from PBE.

As for the total moment: 0.000 Bohr magnetons per cell.

The space group is Ibam (No. 72) and the conventional cell measures 7.0078, 11.8973 and 5.6014 Å, with angles of 90.00, 90.00 and 90.00 degrees. The asymmetric unit holds Mg at (0.1537, 0.0912, 0.0000), Zn at (0.0000, 0.5000, 0.2500) and Sn at (0.2298, 0.3394, 0.0000).

=====

*ii*
Here is a relaxed Mg2ZnSn2 crystal from Alexandria. Energies are from PBE.

As for the total moment: 0.000 Bohr magnetons per cell.

The space group is I4/mmm (No. 139) and the conventional cell measures 4.6560, 4.6560 and 12.3595 Å, with angles of 90.00, 90.00 and 90.00 degrees. The asymmetric unit holds Mg at (0.0000, 0.5000, 0.2500), Zn at (0.0000, 0.0000, 0.0000) and Sn at (0.0000, 0.0000, 0.3891).

=====

Which structure is the most stable? The one labeled *i*.

=====

*i*
Here is a relaxed Mg14ZrSn crystal from Alexandria. Energies are from PBE.

As for the total moment: 0.000 Bohr magnetons per cell.

The space group is P-6m2 (No. 187) and the conventional cell measures 6.4183, 6.4183 and 10.2061 Å, with angles of 90.00, 90.00 and 120.00 degrees. The asymmetric unit holds Mg at (0.0000, 0.0000, 0.2433), Mg at (0.0078, 0.5039, 0.2490), Mg at (0.3293, 0.1647, 0.5000), Mg at (0.3411, 0.1706, 0.0000), Zr at (0.3333, 0.6667, 0.0000) and Sn at (0.3333, 0.6667, 0.5000).

=====

*ii*
Here is a relaxed Mg14ZrSn crystal from Alexandria. Energies are from PBE.

As for the total moment: 0.000 Bohr magnetons per cell.

The space group is Amm2 (No. 38) and the conventional cell measures 10.4221, 6.2513 and 11.1350 Å, with angles of 90.00, 90.00 and 90.00 degrees. The asymmetric unit holds Mg at (0.0000, 0.0000, 0.0000), Mg at (0.0000, 0.0000, 0.5004), Mg at (0.0000, 0.2499, 0.2503), Mg at (0.2504, 0.0000, 0.1612), Mg at (0.2502, 0.0000, 0.6650), Mg at (0.2498, 0.2454, 0.9142), Mg at (0.5000, 0.2480, 0.2495), Zr at (0.5000, 0.0000, 0.9997) and Sn at (0.5000, 0.0000, 0.4994).

=====

Which structure is the most stable? The one labeled *ii*.